[1]
The following is a PBE calculation of a relaxed structure of Rb2CaTeS4, from the Alexandria database.

The structure in POSCAR format:
```
Rb2CaTeS4
1.0
-6.3343 -4.6592 -3.4467
5.6836 -4.0166 -5.0273
1.1280 0.2937 8.6960
Rb Ca S Te
4 2 8 2
direct
0.5000 0.0000 0.5000
0.5000 0.5000 0.0000
0.5000 0.0000 0.0000
0.0000 0.0000 0.5000
0.0000 0.5000 0.5000
0.0000 0.5000 0.0000
0.7613 0.7386 0.9566
0.7509 0.3047 0.5278
0.8047 0.2509 0.0278
0.7614 0.7387 0.5434
0.1953 0.7490 0.9722
0.2387 0.2614 0.0434
0.2386 0.2613 0.4566
0.2491 0.6953 0.4722
0.0000 0.0000 0.0000
0.5000 0.5000 0.5000
```

Summary:
The total energy comes out at -3.900 eV per atom. Its spin magnetization is 0.00 μB/atom. The value obtained for the theoretical density is 3.47 g/cm³.


[2]
The following is a PBE calculation of a relaxed structure of BaYW2, from the Alexandria database.

The structure in POSCAR format:
```
BaYW2
1.0
-1.2107 0.6039 -4.9175
4.3295 -2.3321 -1.3524
-1.6843 -3.1436 0.0287
Y W Ba
1 2 1
direct
0.5000 0.0000 0.5000
0.0000 0.0000 0.0000
0.5000 0.5000 0.0000
0.0000 0.5000 0.5000
```

Summary:
The value obtained for the formation energy is 1.623 eV per atom. As for the density of states at the Fermi level: 5.4 states/eV per cell. The total energy comes out at -6.951 eV per atom. Its spin magnetization is 0.00 μB/atom. The calculation puts the energy above the most stable polymorph in this dataset at 4.26 eV/f.u. The value obtained for the theoretical density is 10.63 g/cm³.


[3]
The following is a PBE calculation of a relaxed structure of SrNbH3, from the Alexandria database.

The structure in POSCAR format:
```
SrNbH3
1.0
-1.5135 -3.5148 1.8884
2.8559 -2.3648 -2.1125
2.7864 0.5146 3.1909
Sr H Nb
1 3 1
direct
0.0000 0.0000 0.0000
0.0000 0.5000 0.0000
0.5000 0.0000 0.0000
0.0000 0.0000 0.5000
0.5000 0.5000 0.5000
```

Summary:
As for the density of states at the Fermi level: 2.2 states/eV per cell. The total energy comes out at -3.495 eV per atom. Its spin magnetization is 0.66 μB/atom. The calculation puts the energy above the most stable polymorph in this dataset at 5.01 eV/f.u. The value obtained for the theoretical density is 3.92 g/cm³.


[4]
The following is a PBE calculation of a relaxed structure of CePrSb2, from the Alexandria database.

The structure in POSCAR format:
```
CePrSb2
1.0
4.5280 -0.0010 -0.0034
-2.2635 3.9216 0.0034
-2.2575 -1.3104 7.4011
Pr Ce Sb
1 1 2
direct
0.0000 0.5000 0.5000
0.0000 0.0000 0.0000
0.5036 0.2518 0.7553
0.4964 0.7482 0.2446
```

Summary:
As for the density of states at the Fermi level: 6.7 states/eV per cell. The total energy comes out at -5.862 eV per atom. Its spin magnetization is 0.19 μB/atom. The calculation puts the energy above the most stable polymorph in this dataset at 0.00 eV/f.u. The value obtained for the theoretical density is 6.63 g/cm³.


[5]
The following is a PBE calculation of a relaxed structure of LiAc2In6Co, from the Alexandria database.

The structure in POSCAR format:
```
LiAc2In6Co
1.0
-0.3193 6.0903 3.7832
-3.6509 -3.4000 5.1592
2.3822 0.1440 6.7616
In Ac Co Li
6 2 1 1
direct
0.2500 0.7500 0.0000
0.2500 0.2500 0.4997
0.7500 0.7500 0.5003
0.7501 0.7501 0.9998
0.2499 0.2499 0.0002
0.7500 0.2500 0.0000
0.7500 0.2500 0.5000
0.2500 0.7500 0.5000
0.0000 0.0000 0.0000
0.5000 0.5000 0.0000
```

Summary:
The value obtained for the formation energy is -0.202 eV per atom. As for the density of states at the Fermi level: 6.2 states/eV per cell. The total energy comes out at -3.568 eV per atom. Its spin magnetization is 0.00 μB/atom. The value obtained for the theoretical density is 7.68 g/cm³.


[6]
The following is a PBE calculation of a relaxed structure of Li2Ta, from the Alexandria database.

The structure in POSCAR format:
```
Li2Ta
1.0
1.3693 5.1275 -0.0111
-1.3693 5.1275 -0.0111
0.0000 1.7941 7.6072
Li Ta
4 2
direct
0.5348 0.5348 0.6888
0.1958 0.1958 0.3476
0.8042 0.8042 0.6524
0.4652 0.4652 0.3112
0.1375 0.1375 0.9779
0.8625 0.8625 0.0221
```

Summary:
The value obtained for the formation energy is 0.300 eV per atom. As for the density of states at the Fermi level: 3.1 states/eV per cell. The total energy comes out at -4.926 eV per atom. Its spin magnetization is 0.00 μB/atom. The calculation puts the energy above the most stable polymorph in this dataset at 0.06 eV/f.u. The value obtained for the theoretical density is 6.05 g/cm³.


[7]
The following is a PBE calculation of a relaxed structure of Dy3Ge2Pd, from the Alexandria database.

The structure in POSCAR format:
```
Dy3Ge2Pd
1.0
4.2977 0.0000 0.0000
0.0000 11.2852 0.0000
0.0000 0.0000 11.5771
Dy Ge Pd
12 8 4
direct
0.2500 0.8066 0.7185
0.2500 0.4391 0.3765
0.7500 0.5609 0.6235
0.2500 0.3718 0.0525
0.2500 0.0609 0.8765
0.2500 0.6934 0.2185
0.7500 0.1934 0.2815
0.7500 0.6282 0.9475
0.2500 0.1282 0.5525
0.7500 0.8718 0.4475
0.7500 0.9391 0.1235
0.7500 0.3066 0.7815
0.2500 0.6889 0.4908
0.7500 0.0054 0.6847
0.7500 0.3111 0.5092
0.7500 0.4946 0.1847
0.2500 0.5054 0.8153
0.2500 0.9946 0.3153
0.7500 0.1889 0.0092
0.2500 0.8111 0.9908
0.2500 0.1267 0.1283
0.7500 0.8733 0.8717
0.2500 0.3733 0.6283
0.7500 0.6267 0.3717
```

Summary:
The value obtained for the formation energy is -0.881 eV per atom. As for the density of states at the Fermi level: 16.1 states/eV per cell. The total energy comes out at -5.587 eV per atom. Its spin magnetization is 0.00 μB/atom. The value obtained for the theoretical density is 8.74 g/cm³.


[8]
The following is a PBE calculation of a relaxed structure of TeAsWBr2, from the Alexandria database.

The structure in POSCAR format:
```
TeAsWBr2
1.0
-4.2479 -1.3050 3.0043
1.4147 -5.1684 -0.2446
3.1817 0.6448 4.7788
W Br Te As
1 2 1 1
direct
0.5000 0.5000 0.5000
0.5000 0.0000 0.0000
0.0000 0.5000 0.0000
0.0000 0.0000 0.0000
0.0000 0.0000 0.5000
```

Summary:
As for the density of states at the Fermi level: 5.7 states/eV per cell. The total energy comes out at -3.284 eV per atom. Its spin magnetization is 0.80 μB/atom. The calculation puts the energy above the most stable polymorph in this dataset at 4.84 eV/f.u. The value obtained for the theoretical density is 5.46 g/cm³.


[9]
The following is a PBE calculation of a relaxed structure of La5Re2Br2, from the Alexandria database.

The structure in POSCAR format:
```
La5Re2Br2
1.0
7.3204 0.0000 2.6573
0.0000 8.4956 0.0000
0.8680 0.0000 9.0208
Br La Re
4 10 4
direct
0.6982 0.5000 0.6035
0.8018 0.0000 0.3965
0.3018 0.5000 0.3965
0.1982 0.0000 0.6035
0.9558 0.3195 0.7618
0.2824 0.6805 0.7618
0.5442 0.8195 0.2382
0.5000 0.5000 0.0000
0.0442 0.6805 0.2382
0.2176 0.1805 0.2382
0.0000 0.0000 0.0000
0.7176 0.3195 0.2382
0.4558 0.1805 0.7618
0.7824 0.8195 0.7618
0.3839 0.9003 0.0000
0.8839 0.5997 0.0000
0.6161 0.0997 0.0000
0.1161 0.4003 0.0000
```

Summary:
As for the density of states at the Fermi level: 16.4 states/eV per cell. The total energy comes out at -6.355 eV per atom. Its spin magnetization is 0.00 μB/atom. The value obtained for the theoretical density is 7.52 g/cm³.


[10]
The following is a PBE calculation of a relaxed structure of Zr5Mo3H12, from the Alexandria database.

The structure in POSCAR format:
```
Zr5Mo3H12
1.0
-5.8034 -5.2522 6.1911
1.9929 -5.4510 -8.1186
8.5341 2.3337 4.6172
Zr H Mo
20 48 12
direct
0.5000 0.0000 0.0000
0.5000 0.0000 0.5000
0.7500 0.1250 0.8750
0.6250 0.8750 0.2500
0.2500 0.8750 0.1250
0.0000 0.0000 0.0000
0.5000 0.5000 0.5000
0.6250 0.7500 0.8750
0.5000 0.5000 0.0000
0.0000 0.5000 0.0000
0.7500 0.6250 0.3750
0.1250 0.3750 0.2500
0.3750 0.1250 0.7500
0.0000 0.5000 0.5000
0.1250 0.7500 0.3750
0.8750 0.6250 0.7500
0.3750 0.2500 0.1250
0.2500 0.3750 0.6250
0.0000 0.0000 0.5000
0.8750 0.2500 0.6250
0.3387 0.9179 0.7647
0.4179 0.6532 0.0792
0.4208 0.0821 0.3468
0.9179 0.3387 0.2647
0.1532 0.0739 0.7353
0.7353 0.5739 0.1532
0.3468 0.5821 0.4208
0.9261 0.8468 0.7647
0.5792 0.6613 0.4261
0.2647 0.4261 0.8468
0.6613 0.0821 0.2353
0.0792 0.9261 0.1613
0.6532 0.2353 0.5739
0.7647 0.4179 0.3387
0.2647 0.8387 0.9179
0.5739 0.8387 0.4208
0.4208 0.3387 0.5739
0.9179 0.5792 0.1532
0.6532 0.4179 0.5792
0.8387 0.5739 0.9208
0.8468 0.9261 0.2647
0.5739 0.7353 0.6532
0.9261 0.0792 0.6613
0.4261 0.1613 0.5792
0.4179 0.7647 0.8387
0.7353 0.1613 0.0821
0.1532 0.0792 0.9179
0.3468 0.7647 0.4261
0.1613 0.4261 0.0792
0.8468 0.9208 0.0821
0.1613 0.7353 0.5821
0.4261 0.2647 0.3468
0.0739 0.9208 0.3387
0.7647 0.3468 0.9261
0.0821 0.6613 0.7353
0.3387 0.4208 0.0739
0.0792 0.1532 0.4179
0.5792 0.9179 0.6532
0.9208 0.8468 0.5821
0.5821 0.3468 0.9208
0.0739 0.1532 0.2353
0.5821 0.2353 0.1613
0.8387 0.2647 0.4179
0.9208 0.0739 0.8387
0.0821 0.4208 0.8468
0.6613 0.5792 0.9261
0.2353 0.5821 0.6613
0.2353 0.6532 0.0739
0.2500 0.6250 0.8750
0.3750 0.6250 0.2500
0.3750 0.7500 0.6250
0.2500 0.1250 0.3750
0.1250 0.8750 0.7500
0.6250 0.2500 0.3750
0.7500 0.8750 0.6250
0.8750 0.1250 0.2500
0.7500 0.3750 0.1250
0.8750 0.7500 0.1250
0.6250 0.3750 0.7500
0.1250 0.2500 0.8750
```

Summary:
As for the density of states at the Fermi level: 28.0 states/eV per cell. The total energy comes out at -5.933 eV per atom. Its spin magnetization is 0.00 μB/atom. The value obtained for the theoretical density is 6.56 g/cm³.


[11]
The following is a PBE calculation of a relaxed structure of Hf2FePd, from the Alexandria database.

The structure in POSCAR format:
```
Hf2FePd
1.0
4.1617 0.0000 0.0000
0.0000 4.1617 0.0000
2.0808 2.0808 8.8943
Hf Pd Fe
4 2 2
direct
0.8750 0.8679 0.7500
0.3750 0.3821 0.7500
0.6179 0.1250 0.2500
0.1321 0.6250 0.2500
0.7500 0.2500 0.5000
0.0000 0.0000 0.0000
0.2500 0.7500 0.5000
0.5000 0.5000 0.0000
```

Summary:
The value obtained for the formation energy is 0.337 eV per atom. As for the density of states at the Fermi level: 8.6 states/eV per cell. The total energy comes out at -8.054 eV per atom. Its spin magnetization is 0.40 μB/atom. The value obtained for the theoretical density is 11.19 g/cm³.


[12]
The following is a PBE calculation of a relaxed structure of Nd3Ho8Pu, from the Alexandria database.

The structure in POSCAR format:
```
Nd3Ho8Pu
1.0
-3.3205 -4.3000 6.3479
6.7113 -3.2615 -3.7594
3.7116 7.2655 1.8023
Ho Nd Pu
8 3 1
direct
0.0000 0.2624 0.8033
0.4591 0.1967 0.1967
0.2511 0.3576 0.3576
0.0000 0.8033 0.2624
0.0000 0.8935 0.6424
0.5409 0.7376 0.7376
0.7489 0.1065 0.1065
0.0000 0.6424 0.8935
0.0000 0.5000 0.5000
0.5000 0.2500 0.7500
0.5000 0.7500 0.2500
0.0000 0.0000 0.0000
```

Summary:
The value obtained for the formation energy is 0.571 eV per atom. As for the density of states at the Fermi level: 16.1 states/eV per cell. The total energy comes out at -4.868 eV per atom. Its spin magnetization is 0.33 μB/atom. The value obtained for the theoretical density is 7.76 g/cm³.